Nd2SmY2Th | PBE | optimized geometry

Properties
E_tot ... -5.63 eV per atom
Formation energy from the elements ... 0.135 eV/atom

```
data_Nd2SmY2Th
_cell_length_a 7.060
_cell_length_b 16.332
_cell_length_c 3.565
_cell_angle_alpha 90.00
_cell_angle_beta 90.00
_cell_angle_gamma 90.00
_space_group_name_H-M_alt 'P n n m'
_space_group_IT_number 58
_space_group_name_Hall '-P 2 2n'
loop_
_atom_site_label
_atom_site_fract_x
_atom_site_fract_y
_atom_site_fract_z
_atom_site_occupancy
Nd1 0.249 0.154 0.000 1
Sm1 0.000 0.000 0.500 1
Y1 0.244 0.347 0.500 1
Th1 0.000 0.500 0.000 1
```


NdSmYTh | PBE | optimized geometry

Properties
E_tot ... -5.64 eV per atom
Formation energy from the elements ... 0.201 eV/atom
Relative energy among the computed polymorphs ... 0.72 eV/f.u.

```
data_NdSmYTh
_cell_length_a 8.128
_cell_length_b 8.128
_cell_length_c 8.128
_cell_angle_alpha 90.00
_cell_angle_beta 90.00
_cell_angle_gamma 90.00
_space_group_name_H-M_alt 'F -4 3 m'
_space_group_IT_number 216
_space_group_name_Hall 'F -4 2 3'
loop_
_atom_site_label
_atom_site_fract_x
_atom_site_fract_y
_atom_site_fract_z
_atom_site_occupancy
Nd1 0.000 0.000 0.000 1
Sm1 0.000 0.000 0.500 1
Y1 0.250 0.250 0.750 1
Th1 0.250 0.250 0.250 1
```


Nd2Sm6Y3Th | PBE | optimized geometry

Properties
E_tot ... -5.36 eV per atom
Formation energy from the elements ... 0.032 eV/atom

```
data_Nd2Sm6Y3Th
_cell_length_a 6.279
_cell_length_b 10.864
_cell_length_c 12.003
_cell_angle_alpha 90.00
_cell_angle_beta 100.02
_cell_angle_gamma 90.00
_space_group_name_H-M_alt 'C 1 2/m 1'
_space_group_IT_number 12
_space_group_name_Hall '-C 2y'
loop_
_atom_site_label
_atom_site_fract_x
_atom_site_fract_y
_atom_site_fract_z
_atom_site_occupancy
Nd1 0.000 0.167 0.000 1
Sm1 0.245 0.500 0.750 1
Sm2 0.249 0.335 0.250 1
Y1 0.000 0.000 0.500 1
Y2 0.000 0.333 0.500 1
Th1 0.000 0.500 0.000 1
```


NdSm3YTh | PBE | optimized geometry

Properties
E_tot ... -5.44 eV per atom
Formation energy from the elements ... 0.030 eV/atom

```
data_NdSm3YTh
_cell_length_a 8.101
_cell_length_b 5.123
_cell_length_c 10.252
_cell_angle_alpha 90.00
_cell_angle_beta 108.59
_cell_angle_gamma 90.00
_space_group_name_H-M_alt 'P 1 21/m 1'
_space_group_IT_number 11
_space_group_name_Hall '-P 2yb'
loop_
_atom_site_label
_atom_site_fract_x
_atom_site_fract_y
_atom_site_fract_z
_atom_site_occupancy
Nd1 0.169 0.250 0.291 1
Sm1 0.170 0.750 0.544 1
Sm2 0.178 0.250 0.795 1
Sm3 0.178 0.750 0.044 1
Y1 0.500 0.250 0.629 1
Th1 0.499 0.750 0.879 1
```


Nd3Sm2Y6Th | PBE | optimized geometry

Properties
E_tot ... -5.81 eV per atom
Formation energy from the elements ... 0.020 eV/atom

```
data_Nd3Sm2Y6Th
_cell_length_a 6.270
_cell_length_b 10.854
_cell_length_c 11.875
_cell_angle_alpha 90.00
_cell_angle_beta 100.13
_cell_angle_gamma 90.00
_space_group_name_H-M_alt 'C 1 2/m 1'
_space_group_IT_number 12
_space_group_name_Hall '-C 2y'
loop_
_atom_site_label
_atom_site_fract_x
_atom_site_fract_y
_atom_site_fract_z
_atom_site_occupancy
Nd1 0.000 0.000 0.000 1
Nd2 0.000 0.333 0.000 1
Sm1 0.000 0.167 0.500 1
Y1 0.247 0.335 0.747 1
Y2 0.247 0.500 0.253 1
Th1 0.000 0.500 0.500 1
```


Nd5Sm2YTh | PBE | optimized geometry

Properties
E_tot ... -5.10 eV per atom
Formation energy from the elements ... 0.140 eV/atom

```
data_Nd5Sm2YTh
_cell_length_a 5.462
_cell_length_b 22.020
_cell_length_c 10.581
_cell_angle_alpha 90.00
_cell_angle_beta 90.00
_cell_angle_gamma 90.00
_space_group_name_H-M_alt 'C m c m'
_space_group_IT_number 63
_space_group_name_Hall '-C 2c 2'
loop_
_atom_site_label
_atom_site_fract_x
_atom_site_fract_y
_atom_site_fract_z
_atom_site_occupancy
Nd1 0.000 0.000 0.000 1
Nd2 0.000 0.127 0.250 1
Nd3 0.000 0.223 0.558 1
Nd4 0.000 0.498 0.750 1
Sm1 0.000 0.387 0.002 1
Y1 0.000 0.102 0.750 1
Th1 0.000 0.287 0.250 1
```


Nd2Sm5YTh | PBE | optimized geometry

Properties
E_tot ... -5.07 eV per atom
Formation energy from the elements ... 0.154 eV/atom

```
data_Nd2Sm5YTh
_cell_length_a 5.710
_cell_length_b 20.603
_cell_length_c 10.567
_cell_angle_alpha 90.00
_cell_angle_beta 90.00
_cell_angle_gamma 90.00
_space_group_name_H-M_alt 'C m c 21'
_space_group_IT_number 36
_space_group_name_Hall 'C 2c -2'
loop_
_atom_site_label
_atom_site_fract_x
_atom_site_fract_y
_atom_site_fract_z
_atom_site_occupancy
Nd1 0.000 0.115 0.000 1
Nd2 0.000 0.115 0.416 1
Sm1 0.000 0.015 0.703 1
Sm2 0.000 0.275 0.999 1
Sm3 0.000 0.295 0.390 1
Sm4 0.000 0.387 0.710 1
Sm5 0.000 0.481 0.427 1
Y1 0.000 0.406 0.141 1
Th1 0.000 0.199 0.697 1
```


Nd3Sm6Y2Th | PBE | optimized geometry

Properties
E_tot ... -5.22 eV per atom
Formation energy from the elements ... 0.026 eV/atom

```
data_Nd3Sm6Y2Th
_cell_length_a 6.285
_cell_length_b 10.869
_cell_length_c 12.066
_cell_angle_alpha 90.00
_cell_angle_beta 99.98
_cell_angle_gamma 90.00
_space_group_name_H-M_alt 'C 1 2/m 1'
_space_group_IT_number 12
_space_group_name_Hall '-C 2y'
loop_
_atom_site_label
_atom_site_fract_x
_atom_site_fract_y
_atom_site_fract_z
_atom_site_occupancy
Nd1 0.000 0.000 0.000 1
Nd2 0.000 0.333 0.000 1
Sm1 0.247 0.335 0.746 1
Sm2 0.247 0.500 0.253 1
Y1 0.000 0.167 0.500 1
Th1 0.000 0.500 0.500 1
```


Q: What is the formation energy from the elements in the sixth record?
A: 0.140 eV/atom